A plane-wave DFT calculation with GGA-PBE was carried out for crystalline ZrTcPt2Pb at its relaxed geometry.

ρ = 11.1 g/cm3
energy of formation from the pure elements = 0.821 eV/atom
E = -6.12 eV per atom
spin magnetization = 0.00 μB/atom
D(E_F) = 1.137 states/eV per atom
calculated volume = 23.605 Å³ per atom

Unit cell a=4.8090 b=4.8090 c=5.1033 alpha=90.00 beta=90.00 gamma=90.00
Space group P4/mmm (No. 123)
Inequivalent atoms, fractional coordinates:
Zr 0.0000 0.0000 0.0000 (multiplicity 1)
Tc 0.5000 0.5000 0.5000 (multiplicity 1)
Pt 0.0000 0.5000 0.5000 (multiplicity 2)
Pb 0.5000 0.5000 0.0000 (multiplicity 1)